# 1
Below is a relaxed structure of RbLiPm2Se4, with properties calculated at the PBE-GGA level.

```
RbLiPm2Se4
1.0
4.312 0.000 0.000
-2.156 7.241 0.000
0.000 0.000 14.899
Se Pm Rb Li
8 4 2 2
direct
0.424 0.848 0.750 Se
0.262 0.524 0.391 Se
0.000 0.000 0.000 Se
0.000 0.000 0.500 Se
0.576 0.152 0.250 Se
0.262 0.524 0.109 Se
0.738 0.476 0.891 Se
0.738 0.476 0.609 Se
0.634 0.268 0.439 Pm
0.366 0.732 0.561 Pm
0.366 0.732 0.939 Pm
0.634 0.268 0.061 Pm
0.107 0.215 0.750 Rb
0.893 0.785 0.250 Rb
0.834 0.668 0.750 Li
0.166 0.332 0.250 Li
```

## Properties
- Symmetry: Cmcm, No. 63
- Calculated volume: 29.1 A^3/atom
- Formation energy without anion corrections: -1710 meV/atom
- Mass density: 4.99 g/cm3

# 2
Below is a relaxed structure of RbLiPm2Te4, with properties calculated at the PBE-GGA level.

```
RbLiPm2Te4
1.0
4.585 0.000 0.000
-2.292 7.702 0.000
0.000 0.000 15.999
Rb Li Te Pm
2 2 8 4
direct
0.111 0.222 0.750 Rb
0.889 0.778 0.250 Rb
0.164 0.329 0.250 Li
0.836 0.671 0.750 Li
0.000 0.000 0.500 Te
0.265 0.530 0.391 Te
0.265 0.530 0.109 Te
0.430 0.860 0.750 Te
0.735 0.470 0.891 Te
0.735 0.470 0.609 Te
0.000 0.000 0.000 Te
0.570 0.140 0.250 Te
0.633 0.267 0.063 Pm
0.367 0.733 0.563 Pm
0.633 0.267 0.437 Pm
0.367 0.733 0.937 Pm
```

## Properties
- Symmetry: Cmcm, No. 63
- Calculated volume: 35.3 A^3/atom
- Formation energy without anion corrections: -1347 meV/atom
- Mass density: 5.25 g/cm3

# 3
Below is a relaxed structure of LiPm2Re, with properties calculated at the PBE-GGA level.

```
LiPm2Re
1.0
-1.355 3.212 -0.542
-2.297 -1.358 -2.308
-5.378 -1.244 6.083
Pm Re Li
2 1 1
direct
0.000 0.000 0.205 Pm
0.000 0.000 0.795 Pm
0.500 0.500 0.000 Re
0.500 0.500 0.500 Li
```

## Properties
- ΔH_f (0 K): 0.7 eV per formula unit
- Symmetry: P4/mmm, No. 123
- Calculated volume: 25.6 A^3/atom
- Mass density: 7.85 g/cm3

# 4
Below is a relaxed structure of LiPm2Re, with properties calculated at the PBE-GGA level.

```
LiPm2Re
1.0
3.147 0.000 0.000
1.574 2.726 0.000
1.574 0.909 11.512
Re Pm Li
1 2 1
direct
0.000 0.000 0.000 Re
0.079 0.079 0.762 Pm
0.921 0.921 0.238 Pm
0.500 0.500 0.500 Li
```

## Properties
- ΔH_f (0 K): 3.4 eV per formula unit
- Symmetry: R-3m, No. 166
- Calculated volume: 24.7 A^3/atom
- Mass density: 8.12 g/cm3

# 5
Below is a relaxed structure of LiPm2Re, with properties calculated at the PBE-GGA level.

```
LiPm2Re
1.0
5.027 0.000 0.000
2.513 4.354 0.000
2.513 1.451 4.105
Pm Re Li
2 1 1
direct
0.750 0.750 0.750 Pm
0.250 0.250 0.250 Pm
0.000 0.000 0.000 Re
0.500 0.500 0.500 Li
```

## Properties
- ΔH_f (0 K): 0.6 eV per formula unit
- Symmetry: Fm-3m, No. 225
- Calculated volume: 22.5 A^3/atom
- Mass density: 8.93 g/cm3

# 6
Below is a relaxed structure of LiPmScRe, with properties calculated at the PBE-GGA level.

```
LiPmScRe
1.0
4.847 0.000 0.000
2.424 4.198 0.000
2.424 1.399 3.958
Sc Li Re Pm
1 1 1 1
direct
0.750 0.750 0.750 Sc
0.000 0.000 0.000 Li
0.500 0.500 0.500 Re
0.250 0.250 0.250 Pm
```

## Properties
- ΔH_f (0 K): 0.4 eV per formula unit
- Symmetry: F-43m, No. 216
- Calculated volume: 20.1 A^3/atom
- Mass density: 7.90 g/cm3

Which value of mass density does entry 4 give?
8.12 g/cm3